The following is a DFT calculation (GGA-PBE) of crystalline BC2 at its relaxed geometry.

Lattice parameters (Å, degrees): 4.676 2.481 6.622 90.00 92.87 90.00
Fractional coordinates of all 12 atoms:
B1 0.074 0.250 0.212
B2 0.394 0.250 0.563
B3 0.606 0.750 0.437
B4 0.926 0.750 0.788
C1 0.065 0.250 0.457
C2 0.257 0.750 0.885
C3 0.273 0.750 0.114
C4 0.413 0.250 0.804
C5 0.587 0.750 0.196
C6 0.727 0.250 0.886
C7 0.743 0.250 0.115
C8 0.935 0.750 0.543

ΔE_f	0.33	eV per atom
magnetization	0.00	μB per formula unit
energy above the lowest structure with this stoichiometry	0.27	eV per formula unit
calculated volume	6.394	Å³/atom
DOS(E_F)	2.056	states/eV per cell

The following is a DFT calculation (GGA-PBE) of crystalline TbYTmPu at its relaxed geometry.

Lattice parameters (Å, degrees): 7.882 7.882 7.882 90.00 90.00 90.00
Fractional coordinates of all 16 atoms:
Tb1 0.000 0.000 0.000
Tb2 0.000 0.500 0.500
Tb3 0.500 0.000 0.500
Tb4 0.500 0.500 0.000
Y1 0.250 0.250 0.250
Y2 0.250 0.750 0.750
Y3 0.750 0.250 0.750
Y4 0.750 0.750 0.250
Tm1 0.000 0.000 0.500
Tm2 0.000 0.500 0.000
Tm3 0.500 0.000 0.000
Tm4 0.500 0.500 0.500
Pu1 0.250 0.250 0.750
Pu2 0.250 0.750 0.250
Pu3 0.750 0.250 0.250
Pu4 0.750 0.750 0.750

ΔE_f	0.19	eV per atom
magnetization	7.08	μB per formula unit
calculated volume	30.609	Å³/atom
DOS(E_F)	42.333	states/eV per cell

The following is a DFT calculation (GGA-PBE) of crystalline TlSiOs4 at its relaxed geometry.

Lattice parameters (Å, degrees): 5.252 5.252 5.252 60.00 60.00 60.00
Fractional coordinates of all 6 atoms:
Tl1 0.000 0.000 0.000
Si1 0.750 0.750 0.750
Os1 0.376 0.376 0.376
Os2 0.376 0.376 0.874
Os3 0.376 0.874 0.376
Os4 0.874 0.376 0.376

magnetization	0.01	μB per formula unit
energy relative to the elements, uncorrected	1058.0	meV per atom
calculated volume	17.073	Å³/atom
DOS(E_F)	9.038	states/eV per cell

Question: Look up the DOS(E_F) of the second one.
Answer: 42.333 states/eV per cell